Record 1
The following is a DFT calculation (PBE) of Pr2Nd2CIBr2Cl2 after structural relaxation.

a b c (Å): 9.1676 9.1676 8.8241
angles (deg): 104.03 104.03 25.17
Last column: nearest neighbours and their distance in Å.
Atoms (fractional coordinates):
Br 0.1694 0.1694 0.3322  2 Pr 2.97, 1 Nd 3.00
Br 0.8306 0.8306 0.6678  2 Pr 2.97, 1 Nd 3.00
C 0.5000 0.5000 0.0000  2 Pr 2.54, 4 Nd 2.64
Cl 0.8306 0.8306 0.1465  3 Pr 2.90-3.20, 1 Nd 2.92
Cl 0.1694 0.1694 0.8535  3 Pr 2.90-3.20, 1 Nd 2.92
I 0.5000 0.5000 0.5000  4 Nd 3.34
Nd 0.9981 0.9981 0.1954  2 C 2.64, 1 Cl 2.92
Nd 0.0019 0.0019 0.8046  2 C 2.64, 1 Cl 2.92
Pr 0.6463 0.6463 0.0756  1 C 2.54
Pr 0.3537 0.3537 0.9244  1 C 2.54

As for the total magnetization: 0.028 μB per atom.

***

Record 2
The following is a DFT calculation (PBE) of CsInCuSe3 after structural relaxation.

a b c (Å): 7.9975 7.9975 11.2755
angles (deg): 90.00 90.00 150.74
Last column: nearest neighbours and their distance in Å.
Atoms (fractional coordinates):
Cs 0.7386 0.2614 0.2500  8 Se 3.71-3.92, 2 Cu 3.85, 2 Cs 4.04
Cs 0.2614 0.7386 0.7500  8 Se 3.71-3.92, 2 Cu 3.85, 2 Cs 4.04
Cu 0.4507 0.5493 0.2500  4 Se 2.43
Cu 0.5493 0.4507 0.7500  4 Se 2.43
In 0.0000 0.0000 0.0000  6 Se 2.77-2.88
In 0.0000 0.0000 0.5000  6 Se 2.77-2.88
Se 0.3841 0.6159 0.0544  1 Cu 2.43
Se 0.0377 0.9623 0.2500  2 Cu 2.43
Se 0.3841 0.6159 0.4456  1 Cu 2.43
Se 0.6159 0.3841 0.5544  1 Cu 2.43
Se 0.9623 0.0377 0.7500  2 Cu 2.43
Se 0.6159 0.3841 0.9456  1 Cu 2.43

***

Record 3
The following is a DFT calculation (PBE) of La2GdTa2As6 after structural relaxation.

a b c (Å): 12.3858 12.3858 12.3858
angles (deg): 157.23 157.23 32.41
Last column: nearest neighbours and their distance in Å.
Atoms (fractional coordinates):
As 0.2942 0.2942 0.0000  1 Ta 2.42
As 0.7058 0.7058 0.0000  1 Ta 2.42
As 0.5772 0.0772 0.5000  2 Ta 2.53
As 0.9228 0.4228 0.5000  2 Ta 2.53
As 0.0772 0.5772 0.5000  2 Ta 2.53
As 0.4228 0.9228 0.5000  2 Ta 2.53
Gd 0.0000 0.0000 0.0000  8 As 3.06
La 0.1672 0.1672 0.0000  5 As 3.02-3.25
La 0.8328 0.8328 0.0000  5 As 3.02-3.25
Ta 0.3958 0.3958 0.0000  5 As 2.42-2.53
Ta 0.6042 0.6042 0.0000  5 As 2.42-2.53

As for the total magnetization: 0.000 μB per atom.

***

Record 4
The following is a DFT calculation (PBE) of Lu4AuC2S after structural relaxation.

a b c (Å): 3.6000 3.6000 13.0975
angles (deg): 90.00 90.00 120.00
Last column: nearest neighbours and their distance in Å.
Atoms (fractional coordinates):
Au 0.6667 0.3333 0.0000  6 Lu 2.99
C 0.3333 0.6667 0.2599  6 Lu 2.43-2.46
C 0.3333 0.6667 0.7401  6 Lu 2.43-2.46
Lu 0.0000 0.0000 0.1640  3 C 2.43
Lu 0.6667 0.3333 0.3599  3 C 2.46
Lu 0.6667 0.3333 0.6401  3 C 2.46
Lu 0.0000 0.0000 0.8360  3 C 2.43
S 0.0000 0.0000 0.5000  6 Lu 2.77

As for the total magnetization: 0.002 μB per atom.

***

Energy for every record listed, in sequence, given in Ha/atom: -0.190 -0.130 -0.251 -0.237.